No. 1
VASP calculation (PBE) on TaNbSb2 after structural relaxation.

a = 3.1783 Å, b = 3.1783 Å, c = 10.2753 Å
α = 81.10°, β = 81.10°, γ = 60.00°
Closest atoms and distances in Å follow each position.
Fractional coordinates of all 4 atoms:
Sb 0.0934 0.0934 0.7199  1 Nb 2.83, 3 Ta 2.88
Sb 0.9066 0.9066 0.2801  1 Nb 2.83, 3 Ta 2.88
Nb 0.0000 0.0000 0.0000  2 Sb 2.83
Ta 0.5000 0.5000 0.5000  6 Sb 2.88, 6 Ta 3.18

Calculated values
Formation energy from raw total energies, eV per atom: 0.39
Energy above the most stable polymorph in this dataset, meV per atom: 357
D(E_F), states/eV/cell: 4.29
Theoretical density, g cm⁻³: 9.71
M_tot, μB per cell: 0.001

No. 2
VASP calculation (PBE) on CaLa2Os2 after structural relaxation.

a = 8.1973 Å, b = 8.1973 Å, c = 3.7137 Å
α = 90.00°, β = 90.00°, γ = 90.00°
Closest atoms and distances in Å follow each position.
Fractional coordinates of all 10 atoms:
Ca 0.0000 0.0000 0.0000  4 Os 3.17
Ca 0.5000 0.5000 0.0000  4 Os 3.17
Os 0.3598 0.8598 0.0000  6 La 3.03-3.05, 2 Ca 3.17, 1 Os 3.25
Os 0.8598 0.6402 0.0000  6 La 3.03-3.05, 2 Ca 3.17, 1 Os 3.25
Os 0.6402 0.1402 0.0000  6 La 3.03-3.05, 2 Ca 3.17, 1 Os 3.25
Os 0.1402 0.3598 0.0000  6 La 3.03-3.05, 2 Ca 3.17, 1 Os 3.25
La 0.1513 0.6513 0.5000  6 Os 3.03-3.05
La 0.6513 0.8487 0.5000  6 Os 3.03-3.05
La 0.8487 0.3487 0.5000  6 Os 3.03-3.05
La 0.3487 0.1513 0.5000  6 Os 3.03-3.05

Calculated values
Energy above the most stable polymorph in this dataset, meV per atom: 0
D(E_F), states/eV/cell: 7.30
DFT formation energy, eV/atom: 0.172
Theoretical density, g cm⁻³: 9.29
M_tot, μB per cell: 0.000

No. 3
VASP calculation (PBE) on CuH3PdPt after structural relaxation.

a = 2.7884 Å, b = 6.6058 Å, c = 6.2722 Å
α = 91.46°, β = 90.00°, γ = 90.00°
Closest atoms and distances in Å follow each position.
Fractional coordinates of all 12 atoms:
Cu 0.2500 0.5800 0.1526  4 H 1.81-1.99
Cu 0.7500 0.4200 0.8474  4 H 1.81-1.99
H 0.7500 0.9743 0.1624  1 Pt 1.77, 2 Pd 1.92
H 0.2500 0.0257 0.8376  1 Pt 1.77, 2 Pd 1.92
H 0.2500 0.6726 0.4268  2 Pt 1.79, 1 Cu 1.81
H 0.7500 0.3274 0.5732  2 Pt 1.79, 1 Cu 1.81
H 0.7500 0.3657 0.1422  3 Cu 1.89-1.99, 2 Pd 1.90
H 0.2500 0.6343 0.8578  3 Cu 1.89-1.99, 2 Pd 1.90
Pd 0.2500 0.1703 0.1311  5 H 1.90-2.05
Pd 0.7500 0.8297 0.8689  5 H 1.90-2.05
Pt 0.2500 0.1582 0.5954  3 H 1.77-1.79
Pt 0.7500 0.8418 0.4046  3 H 1.77-1.79

Calculated values
VASP energy, eV/atom: -4.219
D(E_F), states/eV/cell: 2.45
Theoretical density, g cm⁻³: 10.58
M_tot, μB per cell: 0.000